Entry i
Material: PrTlHgSe3
Method: DFT, PBE
State: relaxed

Computed properties:
- SG: Pnma, No. 62

Unit cell a=14.4658 b=4.3503 c=11.5501 alpha=90.00 beta=90.00 gamma=90.00
Last column: nearest neighbours and their distance in Å.
Fractional coordinates of all 24 atoms:
Hg: 0.0204 0.7500 0.8929  4 Se 2.67-2.84
Hg: 0.9796 0.2500 0.1071  4 Se 2.67-2.84
Hg: 0.5204 0.7500 0.6071  4 Se 2.67-2.84
Hg: 0.4796 0.2500 0.3929  4 Se 2.67-2.84
Tl: 0.2432 0.2500 0.9559  5 Se 3.19-3.56
Tl: 0.7432 0.2500 0.5441  5 Se 3.19-3.56
Tl: 0.2568 0.7500 0.4559  5 Se 3.19-3.56
Tl: 0.7568 0.7500 0.0441  5 Se 3.19-3.56
Se: 0.4013 0.7500 0.9191  3 Pr 2.92-3.00, 2 Tl 3.19
Se: 0.5987 0.2500 0.0809  3 Pr 2.92-3.00, 2 Tl 3.19
Se: 0.1581 0.7500 0.7385  1 Hg 2.67
Se: 0.0940 0.7500 0.1207  3 Hg 2.74-2.84
Se: 0.9013 0.7500 0.5809  3 Pr 2.92-3.00, 2 Tl 3.19
Se: 0.5940 0.7500 0.3793  3 Hg 2.74-2.84
Se: 0.8419 0.2500 0.2615  1 Hg 2.67
Se: 0.9060 0.2500 0.8793  3 Hg 2.74-2.84
Se: 0.4060 0.2500 0.6207  3 Hg 2.74-2.84
Se: 0.3419 0.2500 0.2385  1 Hg 2.67
Se: 0.0987 0.2500 0.4191  3 Pr 2.92-3.00, 2 Tl 3.19
Se: 0.6581 0.7500 0.7615  1 Hg 2.67
Pr: 0.0301 0.2500 0.6570  6 Se 2.92-3.13
Pr: 0.4699 0.7500 0.1570  6 Se 2.92-3.13
Pr: 0.9699 0.7500 0.3430  6 Se 2.92-3.13
Pr: 0.5301 0.2500 0.8430  6 Se 2.92-3.13


Entry ii
Material: PrTlHgSe3
Method: DFT, PBE
State: relaxed

Computed properties:
- SG: Pnma, No. 62

Unit cell a=11.3239 b=4.3447 c=14.3388 alpha=90.00 beta=90.00 gamma=90.00
Last column: nearest neighbours and their distance in Å.
Fractional coordinates of all 24 atoms:
Se: 0.9605 0.7500 0.1162  1 Hg 2.65
Se: 0.5669 0.7500 0.1052  1 Hg 2.64
Se: 0.5395 0.2500 0.6162  1 Hg 2.65
Se: 0.0395 0.2500 0.8838  1 Hg 2.65
Se: 0.9331 0.2500 0.6052  1 Hg 2.64
Se: 0.2581 0.2500 0.1707  2 Hg 2.77, 2 Pr 3.04-3.06
Se: 0.4331 0.2500 0.8948  1 Hg 2.64
Se: 0.4605 0.7500 0.3838  1 Hg 2.65
Se: 0.7581 0.2500 0.3293  2 Hg 2.77, 2 Pr 3.04-3.06
Se: 0.2419 0.7500 0.6707  2 Hg 2.77, 2 Pr 3.04-3.06
Se: 0.7419 0.7500 0.8293  2 Hg 2.77, 2 Pr 3.04-3.06
Se: 0.0669 0.7500 0.3948  1 Hg 2.64
Pr: 0.9896 0.7500 0.7433  6 Se 3.01-3.06
Pr: 0.5104 0.2500 0.2433  6 Se 3.01-3.06
Pr: 0.0104 0.2500 0.2567  6 Se 3.01-3.06
Pr: 0.4896 0.7500 0.7567  6 Se 3.01-3.06
Hg: 0.7588 0.7500 0.2097  4 Se 2.64-2.77
Hg: 0.2588 0.7500 0.2903  4 Se 2.64-2.77
Hg: 0.2412 0.2500 0.7903  4 Se 2.64-2.77
Hg: 0.7412 0.2500 0.7097  4 Se 2.64-2.77
Tl: 0.7283 0.7500 0.5008  7 Se 3.30-3.51
Tl: 0.2283 0.7500 0.9992  7 Se 3.30-3.51
Tl: 0.7717 0.2500 0.0008  7 Se 3.30-3.51
Tl: 0.2717 0.2500 0.4992  7 Se 3.30-3.51


Entry iii
Material: PrTlHgSe3
Method: DFT, PBE
State: relaxed

Computed properties:
- SG: C2/m, No. 12

Unit cell a=9.3474 b=9.3474 c=9.3342 alpha=104.65 beta=104.65 gamma=26.71
Last column: nearest neighbours and their distance in Å.
Fractional coordinates of all 12 atoms:
Se: 0.6612 0.6612 0.3719  3 Pr 2.93-2.99, 1 Hg 3.17
Se: 0.0000 0.0000 0.5000  4 Hg 2.93, 2 Pr 3.06
Se: 0.5000 0.5000 0.0000  2 Hg 2.73
Se: 0.6760 0.6760 0.8175  1 Hg 2.76, 2 Pr 2.97
Se: 0.3388 0.3388 0.6281  3 Pr 2.93-2.99, 1 Hg 3.17
Se: 0.3240 0.3240 0.1825  1 Hg 2.76, 2 Pr 2.97
Pr: 0.1744 0.1744 0.5986  6 Se 2.93-3.06
Pr: 0.8256 0.8256 0.4014  6 Se 2.93-3.06
Hg: 0.5190 0.5190 0.7192  4 Se 2.73-2.93
Hg: 0.4810 0.4810 0.2808  4 Se 2.73-2.93
Tl: 0.8644 0.8644 0.9207  7 Se 3.22-3.48
Tl: 0.1356 0.1356 0.0793  7 Se 3.22-3.48


Stability summary: most stable entry ii, least stable entry iii.


Entry i
Material: PrTlHgSe3
Method: DFT, PBE
State: relaxed

Computed properties:
- SG: P2_1/m, No. 11

Unit cell a=8.3281 b=4.3342 c=10.6158 alpha=90.00 beta=105.89 gamma=90.00
Last column: nearest neighbours and their distance in Å.
Fractional coordinates of all 12 atoms:
Se: 0.2509 0.7500 0.5566  3 Hg 2.73-2.89
Se: 0.4544 0.7500 0.1477  3 Pr 2.92-2.99, 2 Tl 3.24
Se: 0.7491 0.2500 0.4434  3 Hg 2.73-2.89
Se: 0.9501 0.7500 0.1436  1 Hg 2.66
Se: 0.0499 0.2500 0.8564  1 Hg 2.66
Se: 0.5456 0.2500 0.8523  3 Pr 2.92-2.99, 2 Tl 3.24
Hg: 0.0854 0.2500 0.6151  4 Se 2.66-2.89
Hg: 0.9146 0.7500 0.3849  4 Se 2.66-2.89
Pr: 0.3028 0.7500 0.8648  6 Se 2.92-3.18
Pr: 0.6972 0.2500 0.1352  6 Se 2.92-3.18
Tl: 0.7330 0.7500 0.7145  4 Se 3.24-3.43
Tl: 0.2670 0.2500 0.2855  4 Se 3.24-3.43


Entry ii
Material: PrTlHgSe3
Method: DFT, PBE
State: relaxed

Computed properties:
- SG: Cmcm, No. 63

Unit cell a=7.6066 b=7.6066 c=11.3232 alpha=90.00 beta=90.00 gamma=146.89
Last column: nearest neighbours and their distance in Å.
Fractional coordinates of all 12 atoms:
Se: 0.3625 0.6375 0.9466  1 Hg 2.65
Se: 0.6375 0.3625 0.0534  1 Hg 2.65
Se: 0.9208 0.0792 0.2500  2 Hg 2.77, 2 Pr 3.06
Se: 0.6375 0.3625 0.4466  1 Hg 2.65
Se: 0.0792 0.9208 0.7500  2 Hg 2.77, 2 Pr 3.06
Se: 0.3625 0.6375 0.5534  1 Hg 2.65
Tl: 0.2479 0.7521 0.2500  6 Se 3.32-3.50
Tl: 0.7521 0.2479 0.7500  6 Se 3.32-3.50
Pr: 0.0000 0.0000 0.0000  6 Se 3.01-3.06
Pr: 0.0000 0.0000 0.5000  6 Se 3.01-3.06
Hg: 0.5393 0.4607 0.2500  4 Se 2.65-2.77
Hg: 0.4607 0.5393 0.7500  4 Se 2.65-2.77


Stability summary: most stable entry ii, least stable entry i.


Entry i
Material: HgPt7
Method: DFT, PBE
State: relaxed

Computed properties:
- SG: Pmmn, No. 59

Unit cell a=2.8044 b=3.8242 c=34.1047 alpha=90.00 beta=90.00 gamma=90.00
Last column: nearest neighbours and their distance in Å.
Fractional coordinates of all 16 atoms:
Pt: 0.0000 0.0000 0.4368  12 Pt 2.77-2.88
Pt: 0.5000 0.5000 0.3092  12 Pt 2.78-2.93
Pt: 0.0000 0.0000 0.6908  12 Pt 2.78-2.94
Pt: 0.5000 0.5000 0.3946  12 Pt 2.77-2.91
Pt: 0.5000 0.5000 0.4791  12 Pt 2.77-2.88
Pt: 0.5000 0.5000 0.7333  11 Pt 2.78-2.92
Pt: 0.5000 0.5000 0.2232  7 Pt 2.80-2.93, 4 Hg 2.90
Pt: 0.0000 0.0000 0.3523  12 Pt 2.78-2.92
Pt: 0.0000 0.0000 0.6054  12 Pt 2.77-2.91
Pt: 0.0000 0.0000 0.5209  12 Pt 2.77-2.88
Pt: 0.0000 0.0000 0.7768  7 Pt 2.80-2.94, 4 Hg 2.90
Pt: 0.0000 0.0000 0.2667  11 Pt 2.78-2.92
Pt: 0.5000 0.5000 0.5631  12 Pt 2.77-2.88
Pt: 0.5000 0.5000 0.6477  12 Pt 2.78-2.92
Hg: 0.5000 0.5000 0.8257  2 Hg 2.80, 4 Pt 2.90
Hg: 0.0000 0.0000 0.1744  2 Hg 2.80, 4 Pt 2.90


Entry ii
Material: HgPt7
Method: DFT, PBE
State: relaxed

Computed properties:
- SG: Fm-3m, No. 225

Unit cell a=5.6658 b=5.6658 c=5.6658 alpha=60.00 beta=60.00 gamma=60.00
Last column: nearest neighbours and their distance in Å.
Fractional coordinates of all 8 atoms:
Hg: 0.0000 0.0000 0.0000  12 Pt 2.83
Pt: 0.5000 0.0000 0.5000  10 Pt 2.83, 2 Hg 2.83
Pt: 0.0000 0.0000 0.5000  2 Hg 2.83, 10 Pt 2.83
Pt: 0.5000 0.0000 0.0000  2 Hg 2.83, 10 Pt 2.83
Pt: 0.5000 0.5000 0.5000  12 Pt 2.83
Pt: 0.5000 0.5000 0.0000  10 Pt 2.83, 2 Hg 2.83
Pt: 0.0000 0.5000 0.5000  10 Pt 2.83, 2 Hg 2.83
Pt: 0.0000 0.5000 0.0000  2 Hg 2.83, 10 Pt 2.83


Stability summary: most stable entry ii, least stable entry i.


Entry i
Material: HgPt15
Method: DFT, PBE
State: relaxed

Computed properties:
- SG: Pmma, No. 51

Unit cell a=3.9405 b=3.9396 c=45.0291 alpha=90.00 beta=90.00 gamma=90.00
Last column: nearest neighbours and their distance in Å.
Fractional coordinates of all 32 atoms:
Pt: 0.2500 0.5000 0.9779  12 Pt 2.79-2.80
Pt: 0.2500 0.5000 0.2438  12 Pt 2.79-2.83
Pt: 0.7500 0.5000 0.8457  12 Pt 2.79-2.81
Pt: 0.2500 0.0000 0.0220  12 Pt 2.79-2.80
Pt: 0.7500 0.5000 0.6701  4 Pt 2.74, 4 Hg 2.85
Pt: 0.2500 0.5000 0.3299  4 Pt 2.74, 4 Hg 2.85
Pt: 0.7500 0.0000 0.2425  12 Pt 2.79-2.83
Pt: 0.7500 0.5000 0.9338  12 Pt 2.79-2.80
Pt: 0.2500 0.0000 0.1987  12 Pt 2.79-2.83
Pt: 0.7500 0.0000 0.8013  12 Pt 2.79-2.83
Pt: 0.7500 0.5000 0.2876  10 Pt 2.74-2.83
Pt: 0.2500 0.5000 0.7124  10 Pt 2.74-2.83
Pt: 0.7500 0.0000 0.0660  12 Pt 2.79-2.80
Pt: 0.2500 0.0000 0.9340  12 Pt 2.79-2.80
Pt: 0.2500 0.0000 0.1103  12 Pt 2.79-2.81
Pt: 0.7500 0.0000 0.8897  12 Pt 2.79-2.81
Pt: 0.2500 0.5000 0.1543  12 Pt 2.79-2.81
Pt: 0.2500 0.5000 0.8013  12 Pt 2.79-2.83
Pt: 0.2500 0.0000 0.8453  12 Pt 2.79-2.81
Pt: 0.2500 0.0000 0.7575  12 Pt 2.79-2.83
Pt: 0.2500 0.0000 0.2876  10 Pt 2.74-2.83
Pt: 0.7500 0.0000 0.1547  12 Pt 2.79-2.81
Pt: 0.7500 0.0000 0.7124  10 Pt 2.74-2.83
Pt: 0.7500 0.5000 0.0221  12 Pt 2.79-2.80
Pt: 0.7500 0.5000 0.1987  12 Pt 2.79-2.83
Pt: 0.2500 0.5000 0.0662  12 Pt 2.79-2.80
Pt: 0.7500 0.5000 0.7562  12 Pt 2.79-2.83
Pt: 0.7500 0.0000 0.9780  12 Pt 2.79-2.80
Pt: 0.7500 0.5000 0.1102  12 Pt 2.79-2.81
Pt: 0.2500 0.5000 0.8898  12 Pt 2.79-2.81
Hg: 0.2500 0.0000 0.6564  4 Pt 2.85
Hg: 0.7500 0.0000 0.3436  4 Pt 2.85


Entry ii
Material: HgPt15
Method: DFT, PBE
State: relaxed

Computed properties:
- SG: P2_1/m, No. 11

Unit cell a=5.5519 b=2.7988 c=44.9217 alpha=90.00 beta=90.00 gamma=90.00
Last column: nearest neighbours and their distance in Å.
Fractional coordinates of all 32 atoms:
Pt: 0.3749 0.7500 0.6106  12 Pt 2.77-2.81
Pt: 0.6251 0.2500 0.3894  12 Pt 2.77-2.81
Pt: 0.1201 0.2500 0.2117  10 Pt 2.72-2.84
Pt: 0.6250 0.2500 0.5664  12 Pt 2.78-2.80
Pt: 0.3701 0.7500 0.7883  10 Pt 2.72-2.84
Pt: 0.6257 0.2500 0.3007  12 Pt 2.77-2.82
Pt: 0.3750 0.7500 0.1693  6 Pt 2.75-2.80, 2 Hg 2.84
Pt: 0.6250 0.2500 0.7432  12 Pt 2.78-2.84
Pt: 0.6250 0.2500 0.8307  6 Pt 2.75-2.80, 2 Hg 2.84
Pt: 0.1250 0.2500 0.7442  12 Pt 2.78-2.82
Pt: 0.8750 0.7500 0.2558  12 Pt 2.78-2.82
Pt: 0.1248 0.2500 0.4779  12 Pt 2.77-2.80
Pt: 0.8750 0.7500 0.3449  12 Pt 2.78-2.81
Pt: 0.3748 0.7500 0.5221  12 Pt 2.77-2.80
Pt: 0.8799 0.7500 0.7883  10 Pt 2.72-2.84
Pt: 0.6299 0.2500 0.2117  10 Pt 2.72-2.84
Pt: 0.3743 0.7500 0.6993  12 Pt 2.77-2.82
Pt: 0.8750 0.7500 0.4336  12 Pt 2.78-2.80
Pt: 0.3750 0.7500 0.3452  12 Pt 2.78-2.81
Pt: 0.1250 0.2500 0.5664  12 Pt 2.78-2.80
Pt: 0.6250 0.2500 0.6548  12 Pt 2.78-2.81
Pt: 0.8752 0.7500 0.5221  12 Pt 2.77-2.80
Pt: 0.8751 0.7500 0.6107  12 Pt 2.77-2.80
Pt: 0.1243 0.2500 0.3007  12 Pt 2.77-2.82
Pt: 0.8757 0.7500 0.6993  12 Pt 2.77-2.82
Pt: 0.1249 0.2500 0.3893  12 Pt 2.77-2.80
Pt: 0.6252 0.2500 0.4779  12 Pt 2.77-2.80
Pt: 0.1250 0.2500 0.6551  12 Pt 2.78-2.81
Pt: 0.3750 0.7500 0.2568  12 Pt 2.78-2.84
Pt: 0.3750 0.7500 0.4336  12 Pt 2.78-2.80
Hg: 0.1250 0.2500 0.8443  2 Hg 2.80, 2 Pt 2.84
Hg: 0.8750 0.7500 0.1557  2 Hg 2.80, 2 Pt 2.84


Stability summary: most stable entry i, least stable entry ii.